1.
Material: Dy2Ag6Pd
Method: DFT, PBE
State: relaxed

Cell lengths 13.6256, 4.0296, 7.0304 Å; angles 90.00, 112.00, 90.00 degrees
Closest atoms and distances in Å follow each position.
Space group C2/m (No. 12)
Inequivalent atoms, fractional coordinates:
Dy: 0.0576 0.0000 0.3093 (multiplicity 4)  2 Pd 2.85, 9 Ag 3.05-3.10
Ag: 0.1100 0.5000 0.6698 (multiplicity 4)  6 Ag 2.94-3.05, 4 Dy 3.09-3.10, 1 Pd 3.20
Ag: 0.1705 0.0000 0.9991 (multiplicity 4)  8 Ag 2.93-3.06, 2 Dy 3.05-3.10, 2 Pd 3.08
Ag: 0.2302 0.5000 0.3254 (multiplicity 4)  7 Ag 2.93-3.06, 3 Dy 3.06-3.07, 1 Pd 3.11
Pd: 0.0000 0.5000 0.0000 (multiplicity 2)  4 Dy 2.85, 6 Ag 3.08-3.11

Electronic total energy   -68.083 eV per cell
Formation energy   -2.537 eV per formula unit
Total moment   0.0 μB per formula unit
V   19.9 Å³/atom

=====

2.
Material: Dy2ErIn2
Method: DFT, PBE
State: relaxed

Cell lengths 3.7306, 5.3201, 13.9609 Å; angles 90.00, 97.69, 90.00 degrees
Closest atoms and distances in Å follow each position.
Space group P2_1/m (No. 11)
Inequivalent atoms, fractional coordinates:
Dy: 0.0474 0.2500 0.0950 (multiplicity 2)  8 In 3.24-3.30
Dy: 0.2372 0.2500 0.4743 (multiplicity 2)  2 In 3.20, 4 Dy 3.33
Er: 0.1492 0.7500 0.2997 (multiplicity 2)  6 In 3.25-3.31, 4 Dy 3.59-3.64
In: 0.3574 0.7500 0.7136 (multiplicity 2)  4 Dy 3.20-3.24, 4 Er 3.25
In: 0.4487 0.2500 0.8979 (multiplicity 2)  6 Dy 3.25-3.30, 2 Er 3.31

Electronic total energy   -42.245 eV per cell
Formation energy   -1.879 eV per formula unit
Total moment   0.0 μB per formula unit
V   27.5 Å³/atom

=====

3.
Material: ZrMnTe3
Method: DFT, PBE
State: relaxed

Cell lengths 7.7510, 4.1099, 10.3210 Å; angles 90.00, 94.12, 90.00 degrees
Closest atoms and distances in Å follow each position.
Space group P2_1/m (No. 11)
Inequivalent atoms, fractional coordinates:
Zr: 0.0633 0.2500 0.1587 (multiplicity 2)  6 Te 2.86-3.05
Mn: 0.3852 0.2500 0.6024 (multiplicity 2)  4 Te 2.68-2.77
Te: 0.0599 0.2500 0.6733 (multiplicity 2)  1 Mn 2.68, 2 Zr 2.89
Te: 0.2425 0.7500 0.0139 (multiplicity 2)  3 Zr 2.86-2.95
Te: 0.3965 0.2500 0.3346 (multiplicity 2)  3 Mn 2.71-2.77

Electronic total energy   -59.152 eV per cell
Total moment   4.9 μB per formula unit
Raw formation energy   -0.487 eV per atom
V   32.8 Å³/atom

=====

4.
Material: Li3Mg
Method: DFT, PBE
State: relaxed

Cell lengths 4.7086, 4.7086, 3.6407 Å; angles 90.00, 90.00, 90.00 degrees
Closest atoms and distances in Å follow each position.
Space group P4/mmm (No. 123)
Inequivalent atoms, fractional coordinates:
Li: 0.0000 0.0000 0.0000 (multiplicity 1)  8 Li 2.98, 4 Mg 3.33
Li: 0.0000 0.5000 0.5000 (multiplicity 2)  8 Li 2.98-3.33, 4 Mg 2.98
Mg: 0.5000 0.5000 0.0000 (multiplicity 1)  12 Li 2.98-3.33

Electronic total energy   -7.436 eV per cell
Formation energy   -0.100 eV per formula unit
Total moment   0.0 μB per formula unit
V   20.2 Å³/atom

=====

5.
Material: LaTlRe2
Method: DFT, PBE
State: relaxed

Cell lengths 6.8724, 6.8724, 6.8724 Å; angles 90.00, 90.00, 90.00 degrees
Closest atoms and distances in Å follow each position.
Space group Fm-3m (No. 225)
Inequivalent atoms, fractional coordinates:
La: 0.0000 0.0000 0.0000 (multiplicity 4)  8 Re 2.98
Tl: 0.0000 0.0000 0.5000 (multiplicity 4)  8 Re 2.98
Re: 0.2500 0.2500 0.2500 (multiplicity 8)  4 Tl 2.98, 4 La 2.98

Electronic total energy   -111.411 eV per cell
Formation energy   4.337 eV per formula unit
Total moment   1.9 μB per formula unit
V   20.3 Å³/atom

=====

6.
Material: Li2Bi2HRh2
Method: DFT, PBE
State: relaxed

Cell lengths 4.1388, 4.1388, 13.5130 Å; angles 90.00, 90.00, 90.00 degrees
Closest atoms and distances in Å follow each position.
Space group I4/mmm (No. 139)
Inequivalent atoms, fractional coordinates:
Li: 0.0000 0.0000 0.1387 (multiplicity 4)  1 H 1.87
Bi: 0.0000 0.0000 0.3576 (multiplicity 4)  4 Rh 2.83, 5 Li 2.93-2.96
H: 0.0000 0.0000 0.0000 (multiplicity 2)  2 Li 1.87, 4 Rh 2.07
Rh: 0.0000 0.5000 0.0000 (multiplicity 4)  2 H 2.07

Electronic total energy   -64.108 eV per cell
Total moment   0.0 μB per formula unit
V   16.5 Å³/atom

=====

7.
Material: Sr2CuHg
Method: DFT, PBE
State: relaxed

Cell lengths 4.6062, 4.6413, 6.5337 Å; angles 90.00, 90.00, 90.00 degrees
Closest atoms and distances in Å follow each position.
Space group Pmm2 (No. 25)
Inequivalent atoms, fractional coordinates:
Sr: 0.0000 0.0000 0.0000 (multiplicity 1)  2 Cu 3.26-3.27, 4 Hg 3.27
Sr: 0.5000 0.5000 0.4984 (multiplicity 1)  2 Hg 3.27, 4 Cu 3.27
Cu: 0.0000 0.0000 0.4995 (multiplicity 1)  6 Sr 3.26-3.27
Hg: 0.5000 0.5000 0.9981 (multiplicity 1)  6 Sr 3.27

Electronic total energy   -8.295 eV per cell
Formation energy   -0.534 eV per formula unit
Total moment   0.0 μB per formula unit
V   34.9 Å³/atom

=====

8.
Material: CdGa2N
Method: DFT, PBE
State: relaxed

Cell lengths 6.5026, 6.5026, 6.5026 Å; angles 90.00, 90.00, 90.00 degrees
Closest atoms and distances in Å follow each position.
Space group Fm-3m (No. 225)
Inequivalent atoms, fractional coordinates:
Cd: 0.0000 0.0000 0.0000 (multiplicity 4)  8 Ga 2.82
Ga: 0.2500 0.2500 0.2500 (multiplicity 8)  4 Cd 2.82, 4 N 2.82
N: 0.0000 0.0000 0.5000 (multiplicity 4)  8 Ga 2.82

Electronic total energy   -45.644 eV per cell
Total moment   0.0 μB per formula unit
Raw formation energy   0.971 eV per atom
V   17.2 Å³/atom

=====

9.
Material: UTcRuC
Method: DFT, PBE
State: relaxed

Cell lengths 3.9720, 4.0446, 4.1293 Å; angles 90.00, 90.00, 90.00 degrees
Closest atoms and distances in Å follow each position.
Space group Pmmm (No. 47)
Inequivalent atoms, fractional coordinates:
U: 0.0000 0.0000 0.0000 (multiplicity 1)  4 Tc 2.83, 4 Ru 2.86
Tc: 0.5000 0.5000 0.0000 (multiplicity 1)  2 C 2.06
Ru: 0.5000 0.0000 0.5000 (multiplicity 1)  2 C 2.02
C: 0.5000 0.5000 0.5000 (multiplicity 1)  2 Ru 2.02, 2 Tc 2.06

Electronic total energy   -39.262 eV per cell
Formation energy   0.892 eV per formula unit
Total moment   0.8 μB per formula unit
V   16.6 Å³/atom

=====

10.
Material: PmSm2Dy5Ho
Method: DFT, PBE
State: relaxed

Cell lengths 8.7330, 8.7330, 15.3841 Å; angles 90.00, 90.00, 90.00 degrees
Closest atoms and distances in Å follow each position.
Space group I4/mcm (No. 140)
Inequivalent atoms, fractional coordinates:
Pm: 0.0000 0.0000 0.2500 (multiplicity 4)  10 Dy 3.58-3.85
Sm: 0.1162 0.3838 0.0000 (multiplicity 8)  1 Sm 2.87, 2 Dy 3.02
Dy: 0.0000 0.0000 0.0000 (multiplicity 4)  4 Sm 3.50, 8 Dy 3.77, 2 Pm 3.85
Dy: 0.2091 0.2909 0.3629 (multiplicity 16)  1 Sm 3.02, 1 Ho 3.11
Ho: 0.0000 0.5000 0.2500 (multiplicity 4)  4 Dy 3.11

Electronic total energy   -157.178 eV per cell
Formation energy   2.483 eV per formula unit
Total moment   0.0 μB per formula unit
V   32.6 Å³/atom

=====

11.
Material: Na2VOsCl
Method: DFT, PBE
State: relaxed

Cell lengths 4.5746, 4.5746, 4.6767 Å; angles 90.00, 90.00, 90.00 degrees
Closest atoms and distances in Å follow each position.
Space group P4/mmm (No. 123)
Inequivalent atoms, fractional coordinates:
Na: 0.0000 0.5000 0.0000 (multiplicity 2)  2 Cl 2.29
V: 0.0000 0.0000 0.5000 (multiplicity 1)  2 Cl 2.34
Os: 0.5000 0.5000 0.5000 (multiplicity 1)  4 V 3.23, 8 Na 3.27
Cl: 0.0000 0.0000 0.0000 (multiplicity 1)  4 Na 2.29, 2 V 2.34

Electronic total energy   -19.434 eV per cell
Total moment   0.0 μB per formula unit
Raw formation energy   1.080 eV per atom
V   19.6 Å³/atom

=====

12.
Material: BeFe3C
Method: DFT, PBE
State: relaxed

Cell lengths 3.6971, 3.6971, 3.6971 Å; angles 90.00, 90.00, 90.00 degrees
Closest atoms and distances in Å follow each position.
Space group Pm-3m (No. 221)
Inequivalent atoms, fractional coordinates:
Be: 0.0000 0.0000 0.0000 (multiplicity 1)  12 Fe 2.61
Fe: 0.0000 0.5000 0.5000 (multiplicity 3)  2 C 1.85
C: 0.5000 0.5000 0.5000 (multiplicity 1)  6 Fe 1.85

Electronic total energy   -38.012 eV per cell
Formation energy   0.327 eV per formula unit
Total moment   4.0 μB per formula unit
V   10.1 Å³/atom

=====

13.
Material: La12TmTl3
Method: DFT, PBE
State: relaxed

Cell lengths 5.0864, 5.0864, 20.5642 Å; angles 90.00, 90.00, 90.00 degrees
Closest atoms and distances in Å follow each position.
Space group P4/mmm (No. 123)
Inequivalent atoms, fractional coordinates:
La: 0.0000 0.0000 0.0000 (multiplicity 1)  8 La 3.59, 4 Tl 3.60
La: 0.0000 0.0000 0.2473 (multiplicity 2)  4 Tl 3.60, 8 La 3.60
La: 0.0000 0.0000 0.5000 (multiplicity 1)  4 Tm 3.60, 8 La 3.67
La: 0.0000 0.5000 0.1235 (multiplicity 4)  4 Tl 3.57-3.59, 8 La 3.59-3.60
La: 0.0000 0.5000 0.3715 (multiplicity 4)  8 La 3.60-3.67, 2 Tl 3.63, 2 Tm 3.67
Tm: 0.5000 0.5000 0.5000 (multiplicity 1)  12 La 3.60-3.67
Tl: 0.5000 0.5000 0.0000 (multiplicity 1)  12 La 3.59-3.60
Tl: 0.5000 0.5000 0.2456 (multiplicity 2)  12 La 3.57-3.63

Electronic total energy   -73.458 eV per cell
Formation energy   -2.758 eV per formula unit
Total moment   0.0 μB per formula unit
V   33.3 Å³/atom

=====

14.
Material: LuInCoCu
Method: DFT, PBE
State: relaxed

Cell lengths 6.4794, 6.4794, 6.4794 Å; angles 90.00, 90.00, 90.00 degrees
Closest atoms and distances in Å follow each position.
Space group F-43m (No. 216)
Inequivalent atoms, fractional coordinates:
Lu: 0.0000 0.0000 0.0000 (multiplicity 4)  4 Co 2.81, 4 Cu 2.81
In: 0.0000 0.0000 0.5000 (multiplicity 4)  4 Co 2.81, 4 Cu 2.81
Co: 0.2500 0.2500 0.2500 (multiplicity 4)  4 In 2.81, 4 Lu 2.81
Cu: 0.2500 0.2500 0.7500 (multiplicity 4)  4 In 2.81, 4 Lu 2.81

Electronic total energy   -76.810 eV per cell
Formation energy   -0.741 eV per formula unit
Total moment   0.6 μB per formula unit
V   17.0 Å³/atom

=====

15.
Material: DyTm4Zn5
Method: DFT, PBE
State: relaxed

Cell lengths 3.5283, 3.5283, 17.6774 Å; angles 90.00, 90.00, 90.00 degrees
Closest atoms and distances in Å follow each position.
Space group P4/mmm (No. 123)
Inequivalent atoms, fractional coordinates:
Dy: 0.0000 0.0000 0.0000 (multiplicity 1)  8 Zn 3.09
Tm: 0.0000 0.0000 0.2016 (multiplicity 2)  8 Zn 3.04-3.05
Tm: 0.0000 0.0000 0.4007 (multiplicity 2)  8 Zn 3.05
Zn: 0.5000 0.5000 0.1034 (multiplicity 2)  4 Tm 3.04, 4 Dy 3.09
Zn: 0.5000 0.5000 0.3012 (multiplicity 2)  8 Tm 3.05
Zn: 0.5000 0.5000 0.5000 (multiplicity 1)  8 Tm 3.05

Electronic total energy   -32.342 eV per cell
Formation energy   -3.484 eV per formula unit
Total moment   0.0 μB per formula unit
V   22.0 Å³/atom

=====

16.
Material: CaTlRu2
Method: DFT, PBE
State: relaxed

Cell lengths 3.1497, 3.1497, 26.8398 Å; angles 90.00, 90.00, 120.00 degrees
Closest atoms and distances in Å follow each position.
Space group R-3m (No. 166, hexagonal axes)
Inequivalent atoms, fractional coordinates:
Ca: 0.0000 0.0000 0.0000 (multiplicity 3)  6 Ru 2.95, 6 Ca 3.15
Tl: 0.0000 0.0000 0.5000 (multiplicity 3)  6 Ru 2.81
Ru: 0.0000 0.0000 0.2466 (multiplicity 6)  3 Tl 2.81, 3 Ca 2.95

Electronic total energy   -60.621 eV per cell
Formation energy   2.713 eV per formula unit
Total moment   0.0 μB per formula unit
V   19.2 Å³/atom

=====

17.
Material: Zr2Mo
Method: DFT, PBE
State: relaxed

Cell lengths 7.7715, 7.7715, 3.5716 Å; angles 90.00, 90.00, 120.00 degrees
Closest atoms and distances in Å follow each position.
Space group P-62m (No. 189)
Inequivalent atoms, fractional coordinates:
Zr: 0.0000 0.2678 0.0000 (multiplicity 3)  4 Mo 2.74-2.88
Zr: 0.0000 0.6004 0.5000 (multiplicity 3)  5 Mo 2.97-3.11, 6 Zr 3.14-3.27
Mo: 0.0000 0.0000 0.5000 (multiplicity 1)  6 Zr 2.74
Mo: 0.3333 0.6667 0.0000 (multiplicity 2)  9 Zr 2.88-2.97

Electronic total energy   -82.678 eV per cell
Formation energy   0.368 eV per formula unit
Total moment   0.0 μB per formula unit
V   20.8 Å³/atom